Density functional theory data (GGA+U) for crystalline PaNiAsO5 at its relaxed geometry.

## Properties
Final energy ... -115.79 eV/cell
Crystal system ... monoclinic
D(E_F) ... 0.0 states/eV/f.u.

Geometry as CIF:
```
data_PaNiAsO5
_chemical_formula_sum 'Pa2 Ni2 As2 O10'
_cell_length_a 5.6741
_cell_length_b 5.6741
_cell_length_c 8.3469
_cell_angle_alpha 112.25
_cell_angle_beta 112.25
_cell_angle_gamma 95.23
_symmetry_space_group_name_H-M 'P 1'
_symmetry_Int_Tables_number 1
loop_
_symmetry_equiv_pos_as_xyz
'x,y,z'
loop_
_atom_site_label
_atom_site_fract_x
_atom_site_fract_y
_atom_site_fract_z
_atom_site_occupancy
Pa1 0.2906 0.7094 0.2500 1
Pa2 0.7094 0.2906 0.7500 1
Ni1 0.0000 0.0000 0.5000 1
Ni2 0.0000 0.0000 0.0000 1
As1 0.6909 0.3091 0.2500 1
As2 0.3091 0.6909 0.7500 1
O1 0.0518 0.9482 0.2500 1
O2 0.9482 0.0518 0.7500 1
O3 0.8506 0.3504 0.0490 1
O4 0.1494 0.6496 0.9510 1
O5 0.6496 0.1494 0.4510 1
O6 0.3504 0.8506 0.5490 1
O7 0.7280 0.6556 0.3699 1
O8 0.2720 0.3444 0.6301 1
O9 0.3444 0.2720 0.1301 1
O10 0.6556 0.7280 0.8699 1
```